Y2OsCl: relaxed, GGA-PBE.

Cell and atoms, written as POSCAR:
```
Y2OsCl
1.0
-0.458 -2.837 -1.846
2.956 0.358 -1.674
5.242 -5.802 3.729
Y Cl Os
2 1 1
Cartesian
2.394 -2.403 -2.872
3.974 -4.217 -0.543
5.805 -6.211 0.157
1.935 -2.070 0.052
```

Results
Its space group is C2/m (12). The calculation puts the total moment at 0.00 μB per cell. The energy above the most stable polymorph in this dataset is 38.4 meV/atom. Its density of states at the Fermi level is 0.28 states/eV per atom.